Entry 1:
# PBE-GGA PrNi3P3, relaxed
data_PrNi3P3
_chemical_formula_sum 'Pr2 Ni6 P6'
_cell_length_a 6.150
_cell_length_b 6.150
_cell_length_c 6.150
_cell_angle_alpha 90.00
_cell_angle_beta 90.00
_cell_angle_gamma 90.00
_symmetry_space_group_name_H-M 'P 1'
_symmetry_Int_Tables_number 1
loop_
_symmetry_equiv_pos_as_xyz
'x,y,z'
loop_
_atom_site_label
_atom_site_type_symbol
_atom_site_fract_x
_atom_site_fract_y
_atom_site_fract_z
_atom_site_occupancy
Pr1 Pr 0.000 0.000 0.000 1
Pr2 Pr 0.500 0.500 0.500 1
Ni1 Ni 0.000 0.250 0.500 1
Ni2 Ni 0.000 0.750 0.500 1
Ni3 Ni 0.250 0.500 0.000 1
Ni4 Ni 0.500 0.000 0.250 1
Ni5 Ni 0.500 0.000 0.750 1
Ni6 Ni 0.750 0.500 0.000 1
P1 P 0.000 0.500 0.250 1
P2 P 0.000 0.500 0.750 1
P3 P 0.250 0.000 0.500 1
P4 P 0.500 0.250 0.000 1
P5 P 0.500 0.750 0.000 1
P6 P 0.750 0.000 0.500 1
# * ΔE to the lowest computed polymorph: 0.151 eV/f.u.
# * E_form: -0.675 eV per atom
# * SG: Pm-3n, No. 223
# * ρ: 5.9 g/cm³

---

Entry 2:
# PBE-GGA PrNi3P2, relaxed
data_PrNi3P2
_chemical_formula_sum 'Pr3 Ni9 P6'
_cell_length_a 7.880
_cell_length_b 7.880
_cell_length_c 9.283
_cell_angle_alpha 106.18
_cell_angle_beta 106.18
_cell_angle_gamma 27.91
_symmetry_space_group_name_H-M 'P 1'
_symmetry_Int_Tables_number 1
loop_
_symmetry_equiv_pos_as_xyz
'x,y,z'
loop_
_atom_site_label
_atom_site_type_symbol
_atom_site_fract_x
_atom_site_fract_y
_atom_site_fract_z
_atom_site_occupancy
Pr1 Pr 0.000 0.000 0.000 1
Pr2 Pr 0.153 0.153 0.702 1
Pr3 Pr 0.847 0.847 0.298 1
Ni1 Ni 0.050 0.050 0.344 1
Ni2 Ni 0.219 0.219 0.395 1
Ni3 Ni 0.324 0.324 0.029 1
Ni4 Ni 0.367 0.367 0.788 1
Ni5 Ni 0.500 0.500 0.500 1
Ni6 Ni 0.633 0.633 0.212 1
Ni7 Ni 0.676 0.676 0.971 1
Ni8 Ni 0.781 0.781 0.605 1
Ni9 Ni 0.950 0.950 0.656 1
P1 P 0.201 0.201 0.128 1
P2 P 0.360 0.360 0.549 1
P3 P 0.474 0.474 0.226 1
P4 P 0.526 0.526 0.774 1
P5 P 0.640 0.640 0.451 1
P6 P 0.799 0.799 0.872 1
# * ΔE to the lowest computed polymorph: 0.000 eV/f.u.
# * E_form: -0.865 eV per atom
# * SG: C2/m, No. 12
# * ρ: 7.3 g/cm³

---

Entry 3:
# PBE-GGA Pr9Ni26P12, relaxed
data_Pr9Ni26P12
_chemical_formula_sum 'Pr9 Ni26 P12'
_cell_length_a 14.437
_cell_length_b 14.437
_cell_length_c 3.899
_cell_angle_alpha 90.00
_cell_angle_beta 90.00
_cell_angle_gamma 120.00
_symmetry_space_group_name_H-M 'P 1'
_symmetry_Int_Tables_number 1
loop_
_symmetry_equiv_pos_as_xyz
'x,y,z'
loop_
_atom_site_label
_atom_site_type_symbol
_atom_site_fract_x
_atom_site_fract_y
_atom_site_fract_z
_atom_site_occupancy
Pr1 Pr 0.048 0.524 0.000 1
Pr2 Pr 0.091 0.182 0.500 1
Pr3 Pr 0.091 0.909 0.500 1
Pr4 Pr 0.476 0.524 0.000 1
Pr5 Pr 0.476 0.952 0.000 1
Pr6 Pr 0.481 0.240 0.000 1
Pr7 Pr 0.760 0.240 0.000 1
Pr8 Pr 0.760 0.519 0.000 1
Pr9 Pr 0.818 0.909 0.500 1
Ni1 Ni 0.000 0.000 0.000 1
Ni2 Ni 0.121 0.408 0.500 1
Ni3 Ni 0.121 0.712 0.500 1
Ni4 Ni 0.223 0.612 0.500 1
Ni5 Ni 0.268 0.536 0.000 1
Ni6 Ni 0.268 0.732 0.000 1
Ni7 Ni 0.286 0.005 0.000 1
Ni8 Ni 0.286 0.143 0.500 1
Ni9 Ni 0.286 0.281 0.000 1
Ni10 Ni 0.288 0.408 0.500 1
Ni11 Ni 0.288 0.879 0.500 1
Ni12 Ni 0.388 0.612 0.500 1
Ni13 Ni 0.388 0.777 0.500 1
Ni14 Ni 0.464 0.732 0.000 1
Ni15 Ni 0.569 0.139 0.500 1
Ni16 Ni 0.569 0.431 0.500 1
Ni17 Ni 0.592 0.712 0.500 1
Ni18 Ni 0.592 0.879 0.500 1
Ni19 Ni 0.667 0.333 0.500 1
Ni20 Ni 0.719 0.005 0.000 1
Ni21 Ni 0.719 0.714 0.000 1
Ni22 Ni 0.857 0.143 0.500 1
Ni23 Ni 0.857 0.714 0.500 1
Ni24 Ni 0.861 0.431 0.500 1
Ni25 Ni 0.995 0.281 0.000 1
Ni26 Ni 0.995 0.714 0.000 1
P1 P 0.182 0.363 0.000 1
P2 P 0.182 0.818 0.000 1
P3 P 0.185 0.093 0.000 1
P4 P 0.387 0.057 0.500 1
P5 P 0.387 0.329 0.500 1
P6 P 0.637 0.818 0.000 1
P7 P 0.671 0.057 0.500 1
P8 P 0.671 0.613 0.500 1
P9 P 0.907 0.093 0.000 1
P10 P 0.907 0.815 0.000 1
P11 P 0.943 0.329 0.500 1
P12 P 0.943 0.613 0.500 1
# * E_form: -0.763 eV per atom
# * SG: P-6m2, No. 187
# * ρ: 7.5 g/cm³

---

> ρ of number 3 (Pr9Ni26P12)?

7.5 g/cm³

---

Repeat the first record exactly.
# PBE-GGA PrNi3P3, relaxed
data_PrNi3P3
_chemical_formula_sum 'Pr2 Ni6 P6'
_cell_length_a 6.150
_cell_length_b 6.150
_cell_length_c 6.150
_cell_angle_alpha 90.00
_cell_angle_beta 90.00
_cell_angle_gamma 90.00
_symmetry_space_group_name_H-M 'P 1'
_symmetry_Int_Tables_number 1
loop_
_symmetry_equiv_pos_as_xyz
'x,y,z'
loop_
_atom_site_label
_atom_site_type_symbol
_atom_site_fract_x
_atom_site_fract_y
_atom_site_fract_z
_atom_site_occupancy
Pr1 Pr 0.000 0.000 0.000 1
Pr2 Pr 0.500 0.500 0.500 1
Ni1 Ni 0.000 0.250 0.500 1
Ni2 Ni 0.000 0.750 0.500 1
Ni3 Ni 0.250 0.500 0.000 1
Ni4 Ni 0.500 0.000 0.250 1
Ni5 Ni 0.500 0.000 0.750 1
Ni6 Ni 0.750 0.500 0.000 1
P1 P 0.000 0.500 0.250 1
P2 P 0.000 0.500 0.750 1
P3 P 0.250 0.000 0.500 1
P4 P 0.500 0.250 0.000 1
P5 P 0.500 0.750 0.000 1
P6 P 0.750 0.000 0.500 1
# * ΔE to the lowest computed polymorph: 0.151 eV/f.u.
# * E_form: -0.675 eV per atom
# * SG: Pm-3n, No. 223
# * ρ: 5.9 g/cm³

---

> The highest E_form belongs to which entry?

PrNi3P3

---

What did the first record say?
# PBE-GGA PrNi3P3, relaxed
data_PrNi3P3
_chemical_formula_sum 'Pr2 Ni6 P6'
_cell_length_a 6.150
_cell_length_b 6.150
_cell_length_c 6.150
_cell_angle_alpha 90.00
_cell_angle_beta 90.00
_cell_angle_gamma 90.00
_symmetry_space_group_name_H-M 'P 1'
_symmetry_Int_Tables_number 1
loop_
_symmetry_equiv_pos_as_xyz
'x,y,z'
loop_
_atom_site_label
_atom_site_type_symbol
_atom_site_fract_x
_atom_site_fract_y
_atom_site_fract_z
_atom_site_occupancy
Pr1 Pr 0.000 0.000 0.000 1
Pr2 Pr 0.500 0.500 0.500 1
Ni1 Ni 0.000 0.250 0.500 1
Ni2 Ni 0.000 0.750 0.500 1
Ni3 Ni 0.250 0.500 0.000 1
Ni4 Ni 0.500 0.000 0.250 1
Ni5 Ni 0.500 0.000 0.750 1
Ni6 Ni 0.750 0.500 0.000 1
P1 P 0.000 0.500 0.250 1
P2 P 0.000 0.500 0.750 1
P3 P 0.250 0.000 0.500 1
P4 P 0.500 0.250 0.000 1
P5 P 0.500 0.750 0.000 1
P6 P 0.750 0.000 0.500 1
# * ΔE to the lowest computed polymorph: 0.151 eV/f.u.
# * E_form: -0.675 eV per atom
# * SG: Pm-3n, No. 223
# * ρ: 5.9 g/cm³